[1]
The following is a PBE calculation of a relaxed Sc4Zn5 crystal, from Alexandria.

Computed properties:
**Raw total energy**: -33.79 eV/cell
**DFT formation energy**: -0.2327 eV per atom

abc: 6.5577 6.5577 6.5577
angles: 96.53 96.53 140.59
Atoms (fractional coordinates):
Sc (0.0000, 0.3144, 0.3144)
Sc (0.0000, 0.6856, 0.6856)
Sc (0.3144, 0.0000, 0.3144)
Sc (0.6856, 0.0000, 0.6856)
Zn (0.0000, 0.0000, 0.0000)
Zn (0.3410, 0.3410, 0.6821)
Zn (0.3410, 0.6590, 0.0000)
Zn (0.6590, 0.3410, 0.0000)
Zn (0.6590, 0.6590, 0.3179)

[2]
The following is a PBE calculation of a relaxed ScZn2 crystal, from Alexandria.

Computed properties:
**Raw total energy**: -8.49 eV/cell
**DFT formation energy**: 0.1287 eV per atom

abc: 4.5342 4.5342 3.3341
angles: 90.00 90.00 90.00
Atoms (fractional coordinates):
Sc (0.0000, 0.0000, 0.0000)
Zn (0.0000, 0.5000, 0.5000)
Zn (0.5000, 0.0000, 0.5000)

[3]
The following is a PBE calculation of a relaxed Sc7Zn6 crystal, from Alexandria.

Computed properties:
**Raw total energy**: -49.70 eV/cell
**DFT formation energy**: 0.1743 eV per atom

abc: 9.6956 9.6956 9.6956
angles: 35.97 35.97 35.97
Atoms (fractional coordinates):
Sc (0.0000, 0.0000, 0.0000)
Sc (0.0861, 0.0861, 0.5766)
Sc (0.0861, 0.5766, 0.0861)
Sc (0.4234, 0.9139, 0.9139)
Sc (0.5766, 0.0861, 0.0861)
Sc (0.9139, 0.4234, 0.9139)
Sc (0.9139, 0.9139, 0.4234)
Zn (0.1662, 0.1662, 0.1662)
Zn (0.3476, 0.3476, 0.3476)
Zn (0.4473, 0.4473, 0.4473)
Zn (0.5527, 0.5527, 0.5527)
Zn (0.6524, 0.6524, 0.6524)
Zn (0.8338, 0.8338, 0.8338)

Q: DFT formation energy of number 2 (ScZn2)?
A: 0.1287 eV per atom

Q: DFT formation energy of number 1 (Sc4Zn5)?
A: -0.2327 eV per atom

Q: Which of these has the highest DFT formation energy?
A: Sc7Zn6